(1)
First-principles (GGA-PBE) data for a relaxed Tl2ZnTc crystal, as listed in Alexandria via LeMat-Bulk.

Computed properties:
- electronic total energy (eV/atom) = -3.4967
- DOS at the Fermi energy (states/eV per cell) = 1.309
- total magnetic moment (μB per formula unit) = 0.92
- formation energy from the elements (eV per atom) = 0.5964

a b c (Å): 5.353 5.353 5.353
angles (deg): 133.95 133.95 67.16
Positions (direct):
Tl  0.250  0.750  0.500
Tl  0.750  0.250  0.500
Zn  0.000  0.000  0.000
Tc  0.500  0.500  0.000

---

(2)
First-principles (GGA-PBE) data for a relaxed TlZnTc3 crystal, as listed in Alexandria via LeMat-Bulk.

Computed properties:
- electronic total energy (eV/atom) = -4.4147
- DOS at the Fermi energy (states/eV per cell) = 8.532
- total magnetic moment (μB per formula unit) = 8.00
- formation energy from the elements (eV per atom) = 2.5330

a b c (Å): 5.089 5.089 5.089
angles (deg): 90.00 90.00 90.00
Positions (direct):
Tl  0.000  0.000  0.000
Zn  0.500  0.500  0.500
Tc  0.000  0.000  0.500
Tc  0.000  0.500  0.000
Tc  0.500  0.000  0.000

---

Q: The lowest DOS at the Fermi energy belongs to which entry?
A: Tl2ZnTc